--- w ---
# Li2V5O10

Li2V5O10 at its PBEsol-relaxed geometry (SCAN, Alexandria).

Cell: 4.9198 4.8714 7.5935 Å, 75.67 76.10 79.74°
Closest atoms and distances in Å follow each position.
Positions (direct):
1 Li 0.5161 0.7694 0.3974  4 O 1.96-2.06
2 Li 0.4844 0.2313 0.6022  4 O 1.96-2.06
3 V 0.5001 0.9997 0.0000  6 O 1.94-1.99
4 V 0.0120 0.9077 0.6749  4 O 1.79-1.92
5 V 0.9882 0.0924 0.3250  4 O 1.79-1.92
6 V 0.9944 0.3283 0.9004  5 O 1.82-2.00
7 V 0.0053 0.6718 0.0996  5 O 1.82-2.00
8 O 0.2162 0.9522 0.8662  4 V 1.99-2.12
9 O 0.7835 0.0477 0.1340  4 V 1.99-2.12
10 O 0.7645 0.8975 0.5194  2 V 1.79-1.90, 1 Li 1.96
11 O 0.2358 0.1026 0.4806  2 V 1.79-1.90, 1 Li 1.96
12 O 0.7509 0.6694 0.9355  3 V 1.90-1.97
13 O 0.2487 0.3302 0.0645  3 V 1.91-1.97
14 O 0.2557 0.8051 0.2225  3 V 1.92-1.99, 1 Li 2.02
15 O 0.7443 0.1946 0.7776  3 V 1.92-1.99, 1 Li 2.02
16 O 0.1895 0.5380 0.6903  2 V 1.82-1.85, 1 Li 2.01
17 O 0.8104 0.4621 0.3098  2 V 1.82-1.85, 1 Li 2.01

The density of states at the Fermi level is 4.295 states/eV per cell. Its space group is P-1 (2).



--- x ---
# Li2V5O10

Li2V5O10 at its PBEsol-relaxed geometry (SCAN, Alexandria).

Cell: 4.8375 4.9354 14.0630 Å, 91.93 103.36 100.04°
Closest atoms and distances in Å follow each position.
Positions (direct):
1 V 0.0259 0.2792 0.2533  5 O 1.83-1.98
2 V 0.9741 0.7208 0.7467  5 O 1.83-1.98
3 V 0.4839 0.5170 0.3977  4 O 1.78-1.98
4 V 0.5056 0.0202 0.9142  4 O 1.77-1.96
5 V 0.5161 0.4830 0.6023  4 O 1.78-1.98
6 V 0.4944 0.9798 0.0858  4 O 1.77-1.96
7 V 0.4970 0.9488 0.3115  4 O 1.78-1.90
8 V 0.4939 0.4913 0.7882  6 O 1.91-2.05
9 V 0.5030 0.0512 0.6885  4 O 1.78-1.90
10 V 0.5061 0.5087 0.2118  6 O 1.91-2.05
11 O 0.7372 0.3523 0.3253  4 V 1.98-2.10
12 O 0.7218 0.8550 0.8176  3 V 1.91-2.12
13 O 0.2628 0.6477 0.6747  4 V 1.98-2.10
14 O 0.2782 0.1450 0.1824  3 V 1.91-2.12
15 O 0.2722 0.5849 0.4809  2 V 1.78-1.97, 2 Li 1.94-1.99
16 O 0.2491 0.1018 0.9842  2 V 1.83-1.84, 1 Li 1.90
17 O 0.7278 0.4151 0.5191  2 V 1.78-1.97, 2 Li 1.94-1.99
18 O 0.7509 0.8982 0.0158  2 V 1.83-1.84, 1 Li 1.90
19 O 0.2128 0.6403 0.2782  3 V 1.83-2.05
20 O 0.2644 0.1098 0.7742  2 V 1.90-1.99
21 O 0.7872 0.3597 0.7218  3 V 1.83-2.05
22 O 0.7356 0.8902 0.2258  2 V 1.90-1.99
23 O 0.7459 0.8615 0.6346  3 V 1.89-1.98
24 O 0.7531 0.3312 0.1366  3 V 1.91-2.05, 1 Li 2.04
25 O 0.2541 0.1385 0.3654  3 V 1.89-1.98
26 O 0.2469 0.6688 0.8634  3 V 1.91-2.05, 1 Li 2.04
27 O 0.7347 0.8707 0.4196  2 V 1.78-1.91, 2 Li 1.97-1.98
28 O 0.7000 0.3559 0.9083  2 V 1.77-1.95
29 O 0.2653 0.1293 0.5804  2 V 1.78-1.91, 2 Li 1.97-1.98
30 O 0.3000 0.6441 0.0917  2 V 1.77-1.95
31 Li 0.0093 0.7675 0.5330  4 O 1.94-1.99
32 Li 0.0099 0.2847 0.0433  4 O 1.90-2.06
33 Li 0.9907 0.2325 0.4670  4 O 1.94-1.99
34 Li 0.9901 0.7153 0.9567  4 O 1.90-2.06

The density of states at the Fermi level is 4.437 states/eV per cell. Its space group is P-1 (2).



Ordering by calculated energy gives the sequence w, x, with the first entry being the most stable.